No. 1
## Ho6Fe2Cu (GGA-PBE)

Data for crystalline Ho6Fe2Cu at its relaxed geometry.

Unit cell a=9.325 b=9.365 c=9.740 alpha=90.00 beta=90.00 gamma=90.00
Space group Immm (No. 71)
Symmetry-distinct sites (fractional):
Ho (0.000, 0.203, 0.221) x8
Ho (0.204, 0.500, 0.185) x8
Ho (0.213, 0.314, 0.500) x8
Fe (0.000, 0.383, 0.000) x4
Fe (0.000, 0.500, 0.390) x4
Cu (0.000, 0.000, 0.000) x2
Cu (0.000, 0.000, 0.500) x2

Formation enthalpy at 0 K (eV/atom): -0.06

=====

No. 2
## LaHoFeCu (GGA-PBE)

Data for crystalline LaHoFeCu at its relaxed geometry.

Unit cell a=6.997 b=6.997 c=6.997 alpha=90.00 beta=90.00 gamma=90.00
Space group F-43m (No. 216)
Symmetry-distinct sites (fractional):
La (0.000, 0.000, 0.000) x4
Ho (0.000, 0.000, 0.500) x4
Fe (0.250, 0.250, 0.750) x4
Cu (0.250, 0.250, 0.250) x4

Formation enthalpy at 0 K (eV/atom): 0.04

=====

No. 3
## HoPaFeCu (GGA-PBE)

Data for crystalline HoPaFeCu at its relaxed geometry.

Unit cell a=6.745 b=6.745 c=6.745 alpha=90.00 beta=90.00 gamma=90.00
Space group F-43m (No. 216)
Symmetry-distinct sites (fractional):
Ho (0.000, 0.000, 0.000) x4
Pa (0.000, 0.000, 0.500) x4
Fe (0.250, 0.250, 0.750) x4
Cu (0.250, 0.250, 0.250) x4

Formation enthalpy at 0 K (eV/atom): 0.04

=====

No. 4
## HoPuFeCu (GGA-PBE)

Data for crystalline HoPuFeCu at its relaxed geometry.

Unit cell a=6.796 b=6.796 c=6.796 alpha=90.00 beta=90.00 gamma=90.00
Space group F-43m (No. 216)
Symmetry-distinct sites (fractional):
Ho (0.000, 0.000, 0.000) x4
Pu (0.000, 0.000, 0.500) x4
Fe (0.250, 0.250, 0.250) x4
Cu (0.250, 0.250, 0.750) x4

Formation enthalpy at 0 K (eV/atom): 0.07

=====

No. 5
## SmHoFeCu (GGA-PBE)

Data for crystalline SmHoFeCu at its relaxed geometry.

Unit cell a=6.890 b=6.890 c=6.890 alpha=90.00 beta=90.00 gamma=90.00
Space group F-43m (No. 216)
Symmetry-distinct sites (fractional):
Sm (0.000, 0.000, 0.000) x4
Ho (0.000, 0.000, 0.500) x4
Fe (0.250, 0.250, 0.750) x4
Cu (0.250, 0.250, 0.250) x4

Formation enthalpy at 0 K (eV/atom): 0.02

=====

No. 6
## TbHoFeCu (GGA-PBE)

Data for crystalline TbHoFeCu at its relaxed geometry.

Unit cell a=6.773 b=6.773 c=6.773 alpha=90.00 beta=90.00 gamma=90.00
Space group F-43m (No. 216)
Symmetry-distinct sites (fractional):
Tb (0.000, 0.000, 0.000) x4
Ho (0.000, 0.000, 0.500) x4
Fe (0.250, 0.250, 0.750) x4
Cu (0.250, 0.250, 0.250) x4

Formation enthalpy at 0 K (eV/atom): -0.02

=====

No. 7
## HoThFeCu (GGA-PBE)

Data for crystalline HoThFeCu at its relaxed geometry.

Unit cell a=6.934 b=6.934 c=6.934 alpha=90.00 beta=90.00 gamma=90.00
Space group F-43m (No. 216)
Symmetry-distinct sites (fractional):
Ho (0.000, 0.000, 0.000) x4
Th (0.000, 0.000, 0.500) x4
Fe (0.250, 0.250, 0.750) x4
Cu (0.250, 0.250, 0.250) x4

Formation enthalpy at 0 K (eV/atom): -0.03

=====

No. 8
## HoTmFeCu (GGA-PBE)

Data for crystalline HoTmFeCu at its relaxed geometry.

Unit cell a=6.710 b=6.710 c=6.710 alpha=90.00 beta=90.00 gamma=90.00
Space group F-43m (No. 216)
Symmetry-distinct sites (fractional):
Ho (0.000, 0.000, 0.000) x4
Tm (0.000, 0.000, 0.500) x4
Fe (0.250, 0.250, 0.750) x4
Cu (0.250, 0.250, 0.250) x4

Formation enthalpy at 0 K (eV/atom): -0.06

=====

No. 9
## FeCuI (GGA-PBE)

Data for crystalline FeCuI at its relaxed geometry.

Unit cell a=9.794 b=3.791 c=6.572 alpha=90.00 beta=90.00 gamma=90.00
Space group Amm2 (No. 38)
Symmetry-distinct sites (fractional):
Fe (0.120, 0.000, 0.000) x4
Cu (0.000, 0.000, 0.667) x2
Cu (0.500, 0.000, 0.665) x2
I (0.307, 0.000, 0.333) x4

Formation energy from raw total energies (eV/atom): 0.49

=====

No. 10
## Fe2CuI8 (GGA-PBE)

Data for crystalline Fe2CuI8 at its relaxed geometry.

Unit cell a=15.106 b=9.348 c=7.418 alpha=90.00 beta=102.96 gamma=90.00
Space group C2/m (No. 12)
Symmetry-distinct sites (fractional):
Fe (0.186, 0.000, 0.175) x4
Cu (0.000, 0.000, 0.000) x2
I (0.083, 0.206, 0.235) x8
I (0.156, 0.500, 0.623) x4
I (0.184, 0.000, 0.834) x4

Formation energy from raw total energies (eV/atom): -0.12

=====

No. 11
## FeCuI2 (GGA-PBE)

Data for crystalline FeCuI2 at its relaxed geometry.

Unit cell a=6.077 b=6.077 c=12.179 alpha=90.00 beta=90.00 gamma=90.00
Space group I-42d (No. 122)
Symmetry-distinct sites (fractional):
Fe (0.000, 0.000, 0.000) x4
Cu (0.000, 0.000, 0.500) x4
I (0.249, 0.250, 0.625) x8

Formation energy from raw total energies (eV/atom): 0.21

=====

No. 12
## Fe2CuI8 (GGA-PBE)

Data for crystalline Fe2CuI8 at its relaxed geometry.

Unit cell a=14.190 b=9.663 c=6.848 alpha=90.00 beta=94.07 gamma=90.00
Space group C2/m (No. 12)
Symmetry-distinct sites (fractional):
Fe (0.172, 0.000, 0.122) x4
Cu (0.000, 0.000, 0.500) x2
I (0.091, 0.208, 0.267) x8
I (0.153, 0.500, 0.809) x4
I (0.157, 0.000, 0.743) x4

Formation energy from raw total energies (eV/atom): -0.10